{
  "formula": "Li3Ca",
  "functional": "PBEsol",
  "state": "relaxed",
  "spacegroup": "P6_3/mmc (194)",
  "formation_enthalpy_0k_mev_per_atom": 43,
  "e_above_lowest_polymorph_mev_per_atom": 4,
  "volume_a3_per_fu": 103.8,
  "lattice_angstrom": [[6.740, 0.000, 0.000], [-3.370, 5.837, 0.000], [0.000, 0.000, 15.836]],
  "species": ["Ca", "Ca", "Ca", "Ca", "Ca", "Ca", "Li", "Li", "Li", "Li", "Li", "Li", "Li", "Li", "Li", "Li", "Li", "Li", "Li", "Li", "Li", "Li", "Li", "Li"],
  "frac_coords": [[0.000, 0.000, 0.250], [0.000, 0.000, 0.750], [0.667, 0.333, 0.602], [0.667, 0.333, 0.898], [0.333, 0.667, 0.102], [0.333, 0.667, 0.398], [0.525, 0.051, 0.250], [0.525, 0.475, 0.250], [0.949, 0.475, 0.250], [0.475, 0.949, 0.750], [0.475, 0.525, 0.750], [0.051, 0.525, 0.750], [0.827, 0.654, 0.077], [0.827, 0.173, 0.077], [0.346, 0.173, 0.077], [0.827, 0.654, 0.423], [0.827, 0.173, 0.423], [0.346, 0.173, 0.423], [0.173, 0.346, 0.923], [0.173, 0.827, 0.923], [0.654, 0.827, 0.923], [0.173, 0.346, 0.577], [0.173, 0.827, 0.577], [0.654, 0.827, 0.577]]
}